The following is a DFT calculation (GGA-PBE) of a relaxed SrPrCdPd crystal.

Properties
* uncorrected energy: -3.556 eV per atom
* space group: No. 216

abc: 5.386 5.386 5.386
angles: 60.00 60.00 60.00
Sites, in units of the cell vectors:
Sr1 0.000 0.000 0.000
Pr1 0.500 0.500 0.500
Cd1 0.250 0.250 0.250
Pd1 0.750 0.750 0.750

---

The following is a DFT calculation (GGA-PBE) of a relaxed TbPrCdPd crystal.

Properties
* uncorrected energy: -4.368 eV per atom
* space group: No. 216

abc: 5.240 5.240 5.240
angles: 60.00 60.00 60.00
Sites, in units of the cell vectors:
Tb1 0.000 0.000 0.000
Pr1 0.500 0.500 0.500
Cd1 0.250 0.250 0.250
Pd1 0.750 0.750 0.750

---

The following is a DFT calculation (GGA-PBE) of a relaxed PrThCdPd crystal.

Properties
* uncorrected energy: -4.913 eV per atom
* space group: No. 216

abc: 5.301 5.301 5.301
angles: 60.00 60.00 60.00
Sites, in units of the cell vectors:
Pr1 0.000 0.000 0.000
Th1 0.500 0.500 0.500
Cd1 0.750 0.750 0.750
Pd1 0.250 0.250 0.250

---

The following is a DFT calculation (GGA-PBE) of a relaxed PrTlCdPd crystal.

Properties
* uncorrected energy: -3.720 eV per atom
* space group: No. 216

abc: 5.116 5.116 5.116
angles: 60.00 60.00 60.00
Sites, in units of the cell vectors:
Pr1 0.000 0.000 0.000
Tl1 0.250 0.250 0.250
Cd1 0.500 0.500 0.500
Pd1 0.750 0.750 0.750

---

The following is a DFT calculation (GGA-PBE) of a relaxed PrTm2CdPd4 crystal.

Properties
* uncorrected energy: -5.188 eV per atom
* space group: No. 166

abc: 8.587 8.587 8.587
angles: 32.99 32.99 32.99
Sites, in units of the cell vectors:
Pr1 0.000 0.000 0.000
Tm1 0.241 0.241 0.241
Tm2 0.759 0.759 0.759
Cd1 0.500 0.500 0.500
Pd1 0.123 0.123 0.123
Pd2 0.383 0.383 0.383
Pd3 0.617 0.617 0.617
Pd4 0.877 0.877 0.877

---

The following is a DFT calculation (GGA-PBE) of a relaxed PrTmCdPd crystal.

Properties
* uncorrected energy: -4.335 eV per atom
* space group: No. 216

abc: 5.199 5.199 5.199
angles: 60.00 60.00 60.00
Sites, in units of the cell vectors:
Pr1 0.000 0.000 0.000
Tm1 0.500 0.500 0.500
Cd1 0.250 0.250 0.250
Pd1 0.750 0.750 0.750

---

The following is a DFT calculation (GGA-PBE) of a relaxed PrYCdPd crystal.

Properties
* uncorrected energy: -4.834 eV per atom
* space group: No. 216

abc: 5.237 5.237 5.237
angles: 60.00 60.00 60.00
Sites, in units of the cell vectors:
Pr1 0.000 0.000 0.000
Y1 0.500 0.500 0.500
Cd1 0.750 0.750 0.750
Pd1 0.250 0.250 0.250

---

The following is a DFT calculation (GGA-PBE) of a relaxed Pr3Zn2CdPd9 crystal.

Properties
* uncorrected energy: -4.779 eV per atom
* space group: No. 164

abc: 5.710 5.710 12.091
angles: 90.00 90.00 120.00
Sites, in units of the cell vectors:
Pr1 0.000 0.000 0.000
Pr2 0.333 0.667 0.764
Pr3 0.667 0.333 0.236
Zn1 0.333 0.667 0.160
Zn2 0.667 0.333 0.840
Cd1 0.000 0.000 0.500
Pd1 0.000 0.500 0.000
Pd2 0.164 0.327 0.314
Pd3 0.164 0.836 0.314
Pd4 0.327 0.164 0.686
Pd5 0.500 0.000 0.000
Pd6 0.500 0.500 0.000
Pd7 0.673 0.836 0.314
Pd8 0.836 0.164 0.686
Pd9 0.836 0.673 0.686

---

The following is a DFT calculation (GGA-PBE) of a relaxed Pr2Zn2CdPd5 crystal.

Properties
* uncorrected energy: -4.513 eV per atom
* space group: No. 127

abc: 9.948 9.948 3.846
angles: 90.00 90.00 90.00
Sites, in units of the cell vectors:
Pr1 0.179 0.321 0.000
Pr2 0.321 0.821 0.000
Pr3 0.679 0.179 0.000
Pr4 0.821 0.679 0.000
Zn1 0.118 0.618 0.000
Zn2 0.382 0.118 0.000
Zn3 0.618 0.882 0.000
Zn4 0.882 0.382 0.000
Cd1 0.000 0.000 0.000
Cd2 0.500 0.500 0.000
Pd1 0.000 0.500 0.500
Pd2 0.066 0.790 0.500
Pd3 0.210 0.066 0.500
Pd4 0.290 0.566 0.500
Pd5 0.434 0.290 0.500
Pd6 0.500 0.000 0.500
Pd7 0.566 0.710 0.500
Pd8 0.710 0.434 0.500
Pd9 0.790 0.934 0.500
Pd10 0.934 0.210 0.500

---

The following is a DFT calculation (GGA-PBE) of a relaxed PrZnCd2Pd2 crystal.

Properties
* uncorrected energy: -3.227 eV per atom
* space group: No. 139

abc: 6.465 6.465 6.465
angles: 131.39 131.39 71.19
Sites, in units of the cell vectors:
Pr1 0.000 0.000 0.000
Zn1 0.500 0.500 0.000
Cd1 0.250 0.750 0.500
Cd2 0.750 0.250 0.500
Pd1 0.270 0.270 0.000
Pd2 0.730 0.730 0.000

---

The following is a DFT calculation (GGA-PBE) of a relaxed Pr2ZnCdPd6 crystal.

Properties
* uncorrected energy: -4.792 eV per atom
* space group: No. 166

abc: 8.931 8.931 8.931
angles: 37.21 37.21 37.21
Sites, in units of the cell vectors:
Pr1 0.204 0.204 0.204
Pr2 0.796 0.796 0.796
Zn1 0.500 0.500 0.500
Cd1 0.000 0.000 0.000
Pd1 0.237 0.745 0.745
Pd2 0.255 0.255 0.763
Pd3 0.255 0.763 0.255
Pd4 0.745 0.237 0.745
Pd5 0.745 0.745 0.237
Pd6 0.763 0.255 0.255

---

The following is a DFT calculation (GGA-PBE) of a relaxed Cd2PdPt5 crystal.

Properties
* uncorrected energy: -4.866 eV per atom
* space group: No. 55

abc: 5.718 11.427 4.025
angles: 90.00 90.00 90.00
Sites, in units of the cell vectors:
Cd1 0.238 0.122 0.000
Cd2 0.262 0.622 0.000
Cd3 0.738 0.378 0.000
Cd4 0.762 0.878 0.000
Pd1 0.000 0.000 0.500
Pd2 0.500 0.500 0.500
Pt1 0.000 0.500 0.500
Pt2 0.014 0.749 0.500
Pt3 0.239 0.372 0.000
Pt4 0.261 0.872 0.000
Pt5 0.486 0.249 0.500
Pt6 0.500 0.000 0.500
Pt7 0.514 0.751 0.500
Pt8 0.739 0.128 0.000
Pt9 0.761 0.628 0.000
Pt10 0.986 0.251 0.500

---

The following is a DFT calculation (GGA-PBE) of a relaxed Cd2Pd2Pt crystal.

Properties
* uncorrected energy: -3.594 eV per atom
* space group: No. 65
* offset from the most stable computed form: 230 meV/atom

abc: 4.456 4.456 5.515
angles: 90.00 90.00 115.73
Sites, in units of the cell vectors:
Cd1 0.000 0.000 0.250
Cd2 0.000 0.000 0.750
Pd1 0.331 0.669 0.000
Pd2 0.669 0.331 0.000
Pt1 0.500 0.500 0.500

---

The following is a DFT calculation (GGA-PBE) of a relaxed CdPd12Pt7 crystal.

Properties
* uncorrected energy: -4.661 eV per atom
* space group: No. 204

abc: 8.123 8.123 8.123
angles: 109.47 109.47 109.47
Sites, in units of the cell vectors:
Cd1 0.000 0.000 0.000
Pd1 0.123 0.267 0.856
Pd2 0.144 0.411 0.267
Pd3 0.144 0.877 0.733
Pd4 0.267 0.144 0.411
Pd5 0.267 0.856 0.123
Pd6 0.411 0.267 0.144
Pd7 0.589 0.733 0.856
Pd8 0.733 0.144 0.877
Pd9 0.733 0.856 0.589
Pd10 0.856 0.123 0.267
Pd11 0.856 0.589 0.733
Pd12 0.877 0.733 0.144
Pt1 0.000 0.000 0.500
Pt2 0.000 0.500 0.000
Pt3 0.000 0.500 0.500
Pt4 0.500 0.000 0.000
Pt5 0.500 0.000 0.500
Pt6 0.500 0.500 0.000
Pt7 0.500 0.500 0.500

---

The following is a DFT calculation (GGA-PBE) of a relaxed CdPdPt2 crystal.

Properties
* uncorrected energy: -4.638 eV per atom
* space group: No. 160

abc: 9.454 9.454 9.454
angles: 17.39 17.39 17.39
Sites, in units of the cell vectors:
Cd1 0.000 0.000 0.000
Pd1 0.833 0.833 0.833
Pt1 0.417 0.417 0.417
Pt2 0.582 0.582 0.582

---

The following is a DFT calculation (GGA-PBE) of a relaxed Cd2Pd3Pt crystal.

Properties
* uncorrected energy: -4.204 eV per atom
* space group: No. 72
* offset from the most stable computed form: 0 meV/atom

abc: 7.662 7.662 7.662
angles: 148.34 69.18 120.29
Sites, in units of the cell vectors:
Cd1 0.162 0.002 0.164
Cd2 0.338 0.502 0.840
Cd3 0.662 0.498 0.160
Cd4 0.838 0.998 0.836
Pd1 0.084 0.750 0.334
Pd2 0.250 0.250 0.000
Pd3 0.416 0.750 0.666
Pd4 0.584 0.250 0.334
Pd5 0.750 0.750 0.000
Pd6 0.916 0.250 0.666
Pt1 0.000 0.500 0.500
Pt2 0.500 0.000 0.500

---

The following is a DFT calculation (GGA-PBE) of a relaxed Cd4Pd5Pt2 crystal.

Properties
* uncorrected energy: -3.841 eV per atom
* space group: No. 71

abc: 10.436 10.436 10.436
angles: 164.44 137.94 45.10
Sites, in units of the cell vectors:
Cd1 0.193 0.500 0.693
Cd2 0.243 0.243 0.000
Cd3 0.757 0.757 0.000
Cd4 0.807 0.500 0.307
Pd1 0.181 0.365 0.816
Pd2 0.451 0.635 0.816
Pd3 0.500 0.000 0.500
Pd4 0.549 0.365 0.184
Pd5 0.819 0.635 0.184
Pt1 0.105 0.105 0.000
Pt2 0.895 0.895 0.000

---

The following is a DFT calculation (GGA-PBE) of a relaxed CdPd2Pt7 crystal.

Properties
* uncorrected energy: -4.925 eV per atom
* space group: No. 65

abc: 7.506 7.506 4.341
angles: 90.00 90.00 123.45
Sites, in units of the cell vectors:
Cd1 0.000 0.000 0.000
Pd1 0.298 0.702 0.500
Pd2 0.702 0.298 0.500
Pt1 0.078 0.292 0.500
Pt2 0.197 0.803 0.000
Pt3 0.292 0.078 0.500
Pt4 0.500 0.500 0.500
Pt5 0.708 0.922 0.500
Pt6 0.803 0.197 0.000
Pt7 0.922 0.708 0.500

---

The following is a DFT calculation (GGA-PBE) of a relaxed Cd2Pd2Pt7 crystal.

Properties
* uncorrected energy: -4.545 eV per atom
* space group: No. 12
* offset from the most stable computed form: 419 meV/atom

abc: 6.290 6.290 7.006
angles: 98.10 98.10 102.86
Sites, in units of the cell vectors:
Cd1 0.129 0.129 0.317
Cd2 0.871 0.871 0.683
Pd1 0.366 0.634 0.000
Pd2 0.634 0.366 0.000
Pt1 0.021 0.294 0.967
Pt2 0.276 0.276 0.701
Pt3 0.294 0.021 0.967
Pt4 0.500 0.500 0.500
Pt5 0.706 0.979 0.033
Pt6 0.724 0.724 0.299
Pt7 0.979 0.706 0.033

---

The following is a DFT calculation (GGA-PBE) of a relaxed Cd4PdPt5 crystal.

Properties
* uncorrected energy: -4.170 eV per atom
* space group: No. 47

abc: 2.935 3.964 14.712
angles: 90.00 90.00 90.00
Sites, in units of the cell vectors:
Cd1 0.000 0.000 0.102
Cd2 0.000 0.000 0.307
Cd3 0.000 0.000 0.693
Cd4 0.000 0.000 0.898
Pd1 0.000 0.000 0.500
Pt1 0.500 0.500 0.000
Pt2 0.500 0.500 0.203
Pt3 0.500 0.500 0.406
Pt4 0.500 0.500 0.594
Pt5 0.500 0.500 0.797